Entry 1:
Here is a geometry-optimized Cs3HgF5 structure from Alexandria. Energies are from GGA-PBE.

Results
energy relative to the lowest polymorph listed for this composition = 17 meV per atom
formation energy (no corrections) = -2.25 eV/atom
crystal system = tetragonal

Unit cell a=7.207 b=7.993 c=7.993 alpha=90.00 beta=90.00 gamma=90.00
Sites, in units of the cell vectors:
Cs: 0.000 0.000 0.000
Cs: 0.000 0.500 0.500
Cs: 0.500 0.325 0.825
Cs: 0.500 0.825 0.675
Cs: 0.500 0.175 0.325
Cs: 0.500 0.675 0.175
Hg: 0.000 0.500 0.000
Hg: 0.000 0.000 0.500
F: 0.792 0.144 0.644
F: 0.792 0.856 0.356
F: 0.792 0.356 0.144
F: 0.792 0.644 0.856
F: 0.208 0.144 0.644
F: 0.208 0.644 0.856
F: 0.208 0.356 0.144
F: 0.208 0.856 0.356
F: 0.500 0.000 0.000
F: 0.500 0.500 0.500

Entry 2:
Here is a geometry-optimized TbPr4Sm structure from Alexandria. Energies are from GGA-PBE.

Results
energy relative to the lowest polymorph listed for this composition = 155 meV per atom
crystal system = monoclinic

Unit cell a=3.514 b=6.224 c=10.376 alpha=88.19 beta=80.25 gamma=73.60
Sites, in units of the cell vectors:
Tb: 0.000 0.000 0.000
Pr: 0.656 0.532 0.155
Pr: 0.344 0.468 0.845
Pr: 0.156 0.031 0.657
Pr: 0.844 0.969 0.343
Sm: 0.500 0.500 0.500

Entry 3:
Here is a geometry-optimized ZrSnBRu2 structure from Alexandria. Energies are from GGA-PBE.

Results
crystal system = tetragonal

Unit cell a=4.882 b=4.289 c=4.882 alpha=90.00 beta=90.00 gamma=90.00
Sites, in units of the cell vectors:
Ru: 0.000 0.000 0.500
Ru: 0.500 0.000 0.000
B: 0.000 0.500 0.000
Sn: 0.500 0.500 0.500
Zr: 0.000 0.000 0.000

Entry 4:
Here is a geometry-optimized Tl5AuSe3 structure from Alexandria. Energies are from GGA-PBE.

Results
formation energy (no corrections) = -0.21 eV/atom
crystal system = monoclinic

Unit cell a=7.291 b=7.291 c=14.063 alpha=74.18 beta=74.18 gamma=78.86
Sites, in units of the cell vectors:
Tl: 0.278 0.726 0.334
Tl: 0.318 0.682 0.000
Tl: 0.853 0.853 0.214
Tl: 0.789 0.789 0.479
Tl: 0.211 0.211 0.521
Tl: 0.147 0.147 0.786
Tl: 0.726 0.278 0.334
Tl: 0.682 0.318 0.000
Tl: 0.722 0.274 0.666
Tl: 0.274 0.722 0.666
Au: 0.612 0.612 0.775
Au: 0.388 0.388 0.225
Se: 0.375 0.375 0.850
Se: 0.163 0.163 0.324
Se: 0.000 0.000 0.000
Se: 0.500 0.500 0.500
Se: 0.625 0.625 0.150
Se: 0.837 0.837 0.676

Entry 5:
Here is a geometry-optimized CaAl3Ag3 structure from Alexandria. Energies are from GGA-PBE.

Results
energy relative to the lowest polymorph listed for this composition = 401 meV per atom
crystal system = cubic

Unit cell a=7.081 b=7.081 c=7.081 alpha=90.00 beta=90.00 gamma=90.00
Sites, in units of the cell vectors:
Ca: 0.500 0.500 0.500
Ca: 0.000 0.000 0.000
Al: 0.000 0.250 0.500
Al: 0.000 0.750 0.500
Al: 0.500 0.000 0.750
Al: 0.750 0.500 0.000
Al: 0.500 0.000 0.250
Al: 0.250 0.500 0.000
Ag: 0.250 0.000 0.500
Ag: 0.000 0.500 0.250
Ag: 0.500 0.750 0.000
Ag: 0.750 0.000 0.500
Ag: 0.000 0.500 0.750
Ag: 0.500 0.250 0.000

Entry 6:
Here is a geometry-optimized CaCdAs2O6 structure from Alexandria. Energies are from GGA-PBE.

Results
formation energy (no corrections) = -1.53 eV/atom
crystal system = monoclinic

Unit cell a=6.999 b=7.133 c=7.133 alpha=79.63 beta=68.92 gamma=68.92
Sites, in units of the cell vectors:
Ca: 0.250 0.891 0.109
Ca: 0.750 0.109 0.891
Cd: 0.250 0.275 0.725
Cd: 0.750 0.725 0.275
As: 0.303 0.768 0.635
As: 0.197 0.365 0.232
As: 0.697 0.232 0.365
As: 0.803 0.635 0.768
O: 0.161 0.977 0.789
O: 0.339 0.211 0.023
O: 0.839 0.023 0.211
O: 0.661 0.789 0.977
O: 0.356 0.862 0.385
O: 0.144 0.615 0.138
O: 0.644 0.138 0.615
O: 0.856 0.385 0.862
O: 0.100 0.636 0.682
O: 0.400 0.318 0.364
O: 0.900 0.364 0.318
O: 0.600 0.682 0.636

Entry 7:
Here is a geometry-optimized TiSiTcSb2 structure from Alexandria. Energies are from GGA-PBE.

Results
formation energy (no corrections) = 1.07 eV/atom
crystal system = tetragonal

Unit cell a=5.093 b=4.563 c=5.093 alpha=90.00 beta=90.00 gamma=90.00
Sites, in units of the cell vectors:
Sb: 0.000 0.000 0.500
Sb: 0.500 0.000 0.000
Si: 0.000 0.000 0.000
Tc: 0.500 0.500 0.500
Ti: 0.000 0.500 0.000

Entry 8:
Here is a geometry-optimized MoPb2W structure from Alexandria. Energies are from GGA-PBE.

Results
energy relative to the lowest polymorph listed for this composition = 1098 meV per atom
crystal system = tetragonal

Unit cell a=7.861 b=7.861 c=6.283 alpha=51.28 beta=51.28 gamma=90.00
Sites, in units of the cell vectors:
Pb: 0.627 0.125 0.250
Pb: 0.123 0.625 0.250
Pb: 0.375 0.373 0.750
Pb: 0.875 0.877 0.750
Mo: 0.500 0.500 0.000
Mo: 0.250 0.750 0.500
W: 0.000 0.000 0.000
W: 0.750 0.250 0.500

Entry 9:
Here is a geometry-optimized WSe2I structure from Alexandria. Energies are from GGA-PBE.

Results
energy relative to the lowest polymorph listed for this composition = 58 meV per atom
formation energy (no corrections) = -0.22 eV/atom
crystal system = triclinic

Unit cell a=6.423 b=6.431 c=7.471 alpha=66.77 beta=89.57 gamma=61.53
Sites, in units of the cell vectors:
W: 0.825 0.210 0.182
W: 0.565 0.951 0.182
Se: 0.131 0.066 0.005
Se: 0.449 0.400 0.947
Se: 0.881 0.807 0.455
Se: 0.765 0.699 0.006
I: 0.597 0.447 0.438
I: 0.246 0.099 0.436

Entry 10:
Here is a geometry-optimized TmCoSi2 structure from Alexandria. Energies are from GGA-PBE.

Results
formation energy (no corrections) = -0.77 eV/atom
crystal system = orthorhombic

Unit cell a=3.907 b=6.678 c=9.664 alpha=90.00 beta=90.00 gamma=90.00
Sites, in units of the cell vectors:
Tm: 0.750 0.655 0.374
Tm: 0.750 0.155 0.126
Tm: 0.250 0.345 0.626
Tm: 0.250 0.845 0.874
Co: 0.250 0.009 0.385
Co: 0.750 0.991 0.615
Co: 0.250 0.509 0.115
Co: 0.750 0.491 0.885
Si: 0.750 0.688 0.073
Si: 0.250 0.312 0.927
Si: 0.750 0.188 0.427
Si: 0.250 0.812 0.573
Si: 0.750 0.154 0.818
Si: 0.250 0.346 0.318
Si: 0.750 0.654 0.682
Si: 0.250 0.846 0.182

Entry 11:
Here is a geometry-optimized La4HgPtCl2 structure from Alexandria. Energies are from GGA-PBE.

Results
formation energy (no corrections) = -1.19 eV/atom
crystal system = monoclinic

Unit cell a=4.332 b=7.428 c=7.699 alpha=70.44 beta=90.00 gamma=90.00
Sites, in units of the cell vectors:
La: 0.000 0.737 0.768
La: 0.000 0.263 0.232
La: 0.500 0.757 0.227
La: 0.500 0.243 0.773
Hg: 0.000 0.500 0.500
Pt: 0.500 0.500 0.000
Cl: 0.000 0.000 0.000
Cl: 0.500 0.000 0.500

Entry 12:
Here is a geometry-optimized Ba2SmIr3O12 structure from Alexandria. Energies are from GGA-PBE.

Results
formation energy (no corrections) = -1.53 eV/atom
crystal system = trigonal

Unit cell a=6.975 b=6.975 c=6.975 alpha=63.52 beta=63.52 gamma=63.52
Sites, in units of the cell vectors:
Ba: 0.612 0.612 0.612
Ba: 0.388 0.388 0.388
Sm: 0.000 0.000 0.000
Ir: 0.500 0.000 0.000
Ir: 0.000 0.500 0.000
Ir: 0.000 0.000 0.500
O: 0.297 0.297 0.879
O: 0.876 0.876 0.404
O: 0.404 0.876 0.876
O: 0.879 0.297 0.297
O: 0.876 0.404 0.876
O: 0.297 0.879 0.297
O: 0.703 0.703 0.121
O: 0.124 0.124 0.596
O: 0.596 0.124 0.124
O: 0.121 0.703 0.703
O: 0.124 0.596 0.124
O: 0.703 0.121 0.703

Entry 13:
Here is a geometry-optimized LaPrAgHg structure from Alexandria. Energies are from GGA-PBE.

Results
energy relative to the lowest polymorph listed for this composition = 0 meV per atom
crystal system = cubic

Unit cell a=5.442 b=5.442 c=5.442 alpha=60.00 beta=60.00 gamma=60.00
Sites, in units of the cell vectors:
Pr: 0.000 0.000 0.000
Hg: 0.750 0.750 0.750
Ag: 0.250 0.250 0.250
La: 0.500 0.500 0.500

Entry 14:
Here is a geometry-optimized CaNi3Au structure from Alexandria. Energies are from GGA-PBE.

Results
energy relative to the lowest polymorph listed for this composition = 0 meV per atom
crystal system = cubic

Unit cell a=4.731 b=4.731 c=4.731 alpha=90.00 beta=90.00 gamma=90.00
Sites, in units of the cell vectors:
Ni: 0.000 0.500 0.000
Ni: 0.000 0.000 0.500
Ni: 0.500 0.000 0.000
Ca: 0.500 0.500 0.500
Au: 0.000 0.000 0.000

Entry 15:
Here is a geometry-optimized MnZn2Os structure from Alexandria. Energies are from GGA-PBE.

Results
energy relative to the lowest polymorph listed for this composition = 580 meV per atom
crystal system = tetragonal

Unit cell a=6.873 b=6.873 c=5.515 alpha=51.46 beta=51.46 gamma=90.00
Sites, in units of the cell vectors:
Zn: 0.625 0.125 0.250
Zn: 0.125 0.625 0.250
Zn: 0.375 0.375 0.750
Zn: 0.875 0.875 0.750
Mn: 0.500 0.500 0.000
Mn: 0.250 0.750 0.500
Os: 0.000 0.000 0.000
Os: 0.750 0.250 0.500

Entry 16:
Here is a geometry-optimized CoAg2Cl structure from Alexandria. Energies are from GGA-PBE.

Results
energy relative to the lowest polymorph listed for this composition = 0 meV per atom
formation energy (no corrections) = 0.13 eV/atom
crystal system = trigonal

Unit cell a=8.970 b=8.970 c=8.970 alpha=19.68 beta=19.68 gamma=19.68
Sites, in units of the cell vectors:
Co: 0.756 0.756 0.756
Ag: 0.010 0.010 0.010
Ag: 0.256 0.256 0.256
Cl: 0.478 0.478 0.478

Entry 17:
Here is a geometry-optimized FeNiOs2 structure from Alexandria. Energies are from GGA-PBE.

Results
energy relative to the lowest polymorph listed for this composition = 160 meV per atom
crystal system = tetragonal

Unit cell a=3.034 b=3.034 c=5.571 alpha=90.00 beta=90.00 gamma=90.00
Sites, in units of the cell vectors:
Fe: 0.500 0.500 0.250
Ni: 0.500 0.500 0.750
Os: 0.000 0.000 0.995
Os: 0.000 0.000 0.505

Entry 18:
Here is a geometry-optimized LiAlInCl2 structure from Alexandria. Energies are from GGA-PBE.

Results
formation energy (no corrections) = -0.24 eV/atom
crystal system = tetragonal

Unit cell a=5.628 b=5.277 c=5.628 alpha=90.00 beta=90.00 gamma=90.00
Sites, in units of the cell vectors:
Cl: 0.000 0.000 0.500
Cl: 0.500 0.000 0.000
Li: 0.500 0.500 0.500
Al: 0.000 0.500 0.000
In: 0.000 0.000 0.000

Entry 19:
Here is a geometry-optimized LaTa structure from Alexandria. Energies are from GGA-PBE.

Results
energy relative to the lowest polymorph listed for this composition = 290 meV per atom
crystal system = orthorhombic

Unit cell a=5.908 b=15.313 c=9.572 alpha=90.00 beta=90.00 gamma=90.00
Sites, in units of the cell vectors:
La: 0.000 0.000 0.667
La: 0.000 0.000 0.333
La: 0.250 0.750 0.583
La: 0.250 0.750 0.917
La: 0.000 0.500 0.167
La: 0.000 0.500 0.833
La: 0.250 0.250 0.083
La: 0.250 0.250 0.417
La: 0.500 0.000 0.167
La: 0.500 0.000 0.833
La: 0.750 0.750 0.083
La: 0.750 0.750 0.417
La: 0.500 0.500 0.667
La: 0.500 0.500 0.333
La: 0.750 0.250 0.583
La: 0.750 0.250 0.917
Ta: 0.000 0.080 0.000
Ta: 0.000 0.920 0.000
Ta: 0.250 0.670 0.250
Ta: 0.250 0.830 0.250
Ta: 0.000 0.580 0.500
Ta: 0.000 0.420 0.500
Ta: 0.250 0.170 0.750
Ta: 0.250 0.330 0.750
Ta: 0.500 0.080 0.500
Ta: 0.500 0.920 0.500
Ta: 0.750 0.670 0.750
Ta: 0.750 0.830 0.750
Ta: 0.500 0.580 0.000
Ta: 0.500 0.420 0.000
Ta: 0.750 0.170 0.250
Ta: 0.750 0.330 0.250

Entry 20:
Here is a geometry-optimized NaTlGe structure from Alexandria. Energies are from GGA-PBE.

Results
crystal system = trigonal

Unit cell a=3.593 b=4.912 c=4.912 alpha=120.00 beta=90.00 gamma=90.00
Sites, in units of the cell vectors:
Na: 0.678 0.333 0.667
Tl: 0.266 0.667 0.333
Ge: 0.057 0.000 0.000

Entry 21:
Here is a geometry-optimized NdCoNiAs2 structure from Alexandria. Energies are from GGA-PBE.

Results
crystal system = tetragonal

Unit cell a=4.074 b=4.074 c=5.844 alpha=110.40 beta=110.40 gamma=90.00
Sites, in units of the cell vectors:
Nd: 0.000 0.000 0.000
Co: 0.750 0.250 0.500
Ni: 0.250 0.750 0.500
As: 0.634 0.634 0.267
As: 0.366 0.366 0.733

Entry 22:
Here is a geometry-optimized MnBAsW2 structure from Alexandria. Energies are from GGA-PBE.

Results
crystal system = tetragonal

Unit cell a=4.561 b=3.672 c=4.561 alpha=90.00 beta=90.00 gamma=90.00
Sites, in units of the cell vectors:
As: 0.500 0.500 0.500
Mn: 0.000 0.000 0.000
B: 0.000 0.500 0.000
W: 0.000 0.000 0.500
W: 0.500 0.000 0.000

It is found that the E_tot values, taken in the order of the records, are -3.604; -4.573; -6.093; -3.055; -2.903; -5.724; -5.312; -6.292; -5.590; -6.374; -4.905; -6.787; -3.584; -3.897; -5.124; -3.534; -8.912; -2.659; -7.821; -2.719; -6.129; -8.152 eV/atom.